Entry a
Compound: BeCoAsPd
Source: OQMD
Functional: PBE
Structure: relaxed

Properties
**Symmetry**: F-43m (216)

Cell lengths 4.165, 4.165, 4.165 Å; angles 60.00, 60.00, 60.00 degrees
Site moments in Bohr magnetons follow the coordinates.
Sites, in units of the cell vectors:
As 0.000 0.000 0.000  0.00
Be 0.250 0.250 0.250  0.00
Co 0.750 0.750 0.750  1.05
Pd 0.500 0.500 0.500  0.07



Entry b
Compound: BeCoAsPd
Source: OQMD
Functional: PBE
Structure: relaxed

Properties
**Symmetry**: F-43m (216)

Cell lengths 4.132, 4.132, 4.132 Å; angles 60.00, 60.00, 60.00 degrees
Site moments in Bohr magnetons follow the coordinates.
Sites, in units of the cell vectors:
As 0.000 0.000 0.000  0.04
Be 0.500 0.500 0.500  0.00
Co 0.750 0.750 0.750  0.93
Pd 0.250 0.250 0.250  0.13



Pick the most stable structure from those above. Pick: entry b